Record 1
Entry from Alexandria via LeMat-Bulk: a relaxed Er4TlTe crystal (GGA-PBE).

Properties
Its relative energy among the computed polymorphs is 0.0000 eV/atom. The calculation puts the total energy at -4.465 eV per atom. For the formation energy (no corrections), the calculation gives -505 meV per atom. The calculated volume is 28.09 Å³ per atom. As for the total magnetic moment: 0.0 Bohr magnetons per cell.

```
data_Er4TlTe
_cell_length_a 6.112
_cell_length_b 6.463
_cell_length_c 8.542
_cell_angle_alpha 90.00
_cell_angle_beta 92.49
_cell_angle_gamma 90.00
_space_group_name_H-M_alt 'P 1 21/m 1'
_space_group_IT_number 11
loop_
_space_group_symop_operation_xyz
'x,y,z'
'-x,-y,-z'
'-x,y+1/2,-z'
'x,-y+1/2,z'
loop_
_atom_site_label
_atom_site_fract_x
_atom_site_fract_y
_atom_site_fract_z
Er1 0.126 0.250 0.344
Er2 0.155 0.750 0.041
Er3 0.358 0.002 0.695
Tl1 0.193 0.750 0.390
Te1 0.341 0.250 0.026
```

Record 2
Entry from Alexandria via LeMat-Bulk: a relaxed Er5Tl2Te crystal (GGA-PBE).

Properties
Its relative energy among the computed polymorphs is 0.1505 eV/atom. The calculation puts the total energy at -4.169 eV per atom. For the formation energy (no corrections), the calculation gives -333 meV per atom. The calculated volume is 27.77 Å³ per atom. As for the total magnetic moment: 0.0 Bohr magnetons per cell.

```
data_Er5Tl2Te
_cell_length_a 7.564
_cell_length_b 7.564
_cell_length_c 7.765
_cell_angle_alpha 90.00
_cell_angle_beta 90.00
_cell_angle_gamma 90.00
_space_group_name_H-M_alt 'I 4 m m'
_space_group_IT_number 107
_space_group_name_Hall 'I 4 -2'
loop_
_atom_site_label
_atom_site_fract_x
_atom_site_fract_y
_atom_site_fract_z
Er1 0.000 0.000 0.000
Er2 0.234 0.234 0.712
Tl1 0.000 0.500 0.477
Te1 0.000 0.000 0.395
```

Record 3
Entry from Alexandria via LeMat-Bulk: a relaxed Er7TlTe2 crystal (GGA-PBE).

Properties
The calculation puts the total energy at -4.104 eV per atom. For the formation energy (no corrections), the calculation gives -45 meV per atom. The calculated volume is 34.86 Å³ per atom. As for the total magnetic moment: 0.0 Bohr magnetons per cell.

```
data_Er7TlTe2
_cell_length_a 8.769
_cell_length_b 14.698
_cell_length_c 5.409
_cell_angle_alpha 90.00
_cell_angle_beta 90.00
_cell_angle_gamma 90.00
_space_group_name_H-M_alt 'C m m m'
_space_group_IT_number 65
_space_group_name_Hall '-C 2 2'
loop_
_atom_site_label
_atom_site_fract_x
_atom_site_fract_y
_atom_site_fract_z
Er1 0.000 0.000 0.000
Er2 0.000 0.272 0.500
Er3 0.183 0.381 0.000
Tl1 0.000 0.500 0.500
Te1 0.000 0.201 0.000
```

Record 4
Entry from Alexandria via LeMat-Bulk: a relaxed Er6Tl2Te crystal (GGA-PBE).

Properties
The calculation puts the total energy at -4.342 eV per atom. For the formation energy (no corrections), the calculation gives -425 meV per atom. The calculated volume is 28.06 Å³ per atom. As for the total magnetic moment: 0.9 Bohr magnetons per cell.

```
data_Er6Tl2Te
_cell_length_a 8.6455
_cell_length_b 8.6455
_cell_length_c 3.9016
_cell_angle_alpha 90.00
_cell_angle_beta 90.00
_cell_angle_gamma 120.00
_space_group_name_H-M_alt 'P -6 2 m'
_space_group_IT_number 189
_space_group_name_Hall 'P -6 -2'
loop_
_atom_site_label
_atom_site_fract_x
_atom_site_fract_y
_atom_site_fract_z
Er1 0.0000 0.3878 0.0000
Er2 0.0000 0.7241 0.5000
Tl1 0.3333 0.6667 0.5000
Te1 0.0000 0.0000 0.0000
```

Record 5
Entry from Alexandria via LeMat-Bulk: a relaxed Er3TlTe crystal (GGA-PBE).

Properties
Its relative energy among the computed polymorphs is 0.1044 eV/atom. The calculation puts the total energy at -4.333 eV per atom. For the formation energy (no corrections), the calculation gives -494 meV per atom. The calculated volume is 28.52 Å³ per atom. As for the total magnetic moment: 0.0 Bohr magnetons per cell.

```
data_Er3TlTe
_cell_length_a 8.980
_cell_length_b 6.327
_cell_length_c 10.357
_cell_angle_alpha 90.00
_cell_angle_beta 104.27
_cell_angle_gamma 90.00
_space_group_name_H-M_alt 'P 1 21/c 1'
_space_group_IT_number 14
loop_
_space_group_symop_operation_xyz
'x,y,z'
'-x,-y,-z'
'-x,y+1/2,-z+1/2'
'x,-y+1/2,z+1/2'
loop_
_atom_site_label
_atom_site_fract_x
_atom_site_fract_y
_atom_site_fract_z
Er1 0.035 0.079 0.294
Er2 0.176 0.649 0.533
Er3 0.413 0.215 0.873
Tl1 0.355 0.713 0.832
Te1 0.190 0.171 0.588
```

Record 6
Entry from Alexandria via LeMat-Bulk: a relaxed ErTm2Tl3Te6 crystal (GGA-PBE).

Properties
The calculation puts the total energy at -4.319 eV per atom. For the formation energy (no corrections), the calculation gives -1031 meV per atom. The calculated volume is 34.55 Å³ per atom. As for the total magnetic moment: 0.0 Bohr magnetons per cell.

```
data_ErTm2Tl3Te6
_cell_length_a 7.646
_cell_length_b 13.242
_cell_length_c 8.578
_cell_angle_alpha 90.00
_cell_angle_beta 107.29
_cell_angle_gamma 90.00
_space_group_name_H-M_alt 'C 1 2/m 1'
_space_group_IT_number 12
loop_
_space_group_symop_operation_xyz
'x,y,z'
'-x,-y,-z'
'-x,y,-z'
'x,-y,z'
'x+1/2,y+1/2,z'
'-x+1/2,-y+1/2,-z'
'-x+1/2,y+1/2,-z'
'x+1/2,-y+1/2,z'
loop_
_atom_site_label
_atom_site_fract_x
_atom_site_fract_y
_atom_site_fract_z
Er1 0.000 0.000 0.000
Tm1 0.000 0.333 0.000
Tl1 0.000 0.166 0.500
Tl2 0.000 0.500 0.500
Te1 0.236 0.500 0.210
Te2 0.237 0.167 0.211
```

Record 7
Entry from Alexandria via LeMat-Bulk: a relaxed Er3TmTl4Te8 crystal (GGA-PBE).

Properties
The calculation puts the total energy at -4.333 eV per atom. For the formation energy (no corrections), the calculation gives -1036 meV per atom. The calculated volume is 34.63 Å³ per atom. As for the total magnetic moment: 0.0 Bohr magnetons per cell.

```
data_Er3TmTl4Te8
_cell_length_a 8.8387
_cell_length_b 8.8387
_cell_length_c 24.5713
_cell_angle_alpha 90.00
_cell_angle_beta 90.00
_cell_angle_gamma 120.00
_space_group_name_H-M_alt 'R -3 m'
_space_group_IT_number 166
_space_group_name_Hall '-R 3 2"'
loop_
_atom_site_label
_atom_site_fract_x
_atom_site_fract_y
_atom_site_fract_z
Er1 0.0000 0.5000 0.0000
Tm1 0.0000 0.0000 0.0000
Tl1 0.0000 0.0000 0.5000
Tl2 0.0000 0.5000 0.5000
Te1 0.0000 0.0000 0.2629
Te2 0.0009 0.5005 0.7369
```

Record 8
Entry from Alexandria via LeMat-Bulk: a relaxed ErTm3Tl4Te8 crystal (GGA-PBE).

Properties
The calculation puts the total energy at -4.316 eV per atom. For the formation energy (no corrections), the calculation gives -1030 meV per atom. The calculated volume is 34.53 Å³ per atom. As for the total magnetic moment: 0.0 Bohr magnetons per cell.

```
data_ErTm3Tl4Te8
_cell_length_a 8.8266
_cell_length_b 8.8266
_cell_length_c 24.5680
_cell_angle_alpha 90.00
_cell_angle_beta 90.00
_cell_angle_gamma 120.00
_space_group_name_H-M_alt 'R -3 m'
_space_group_IT_number 166
_space_group_name_Hall '-R 3 2"'
loop_
_atom_site_label
_atom_site_fract_x
_atom_site_fract_y
_atom_site_fract_z
Er1 0.0000 0.0000 0.0000
Tm1 0.0000 0.5000 0.0000
Tl1 0.0000 0.0000 0.5000
Tl2 0.0000 0.5000 0.5000
Te1 0.0000 0.0000 0.2633
Te2 0.0009 0.5004 0.2631
```